Record 1
First-principles (GGA-PBEsol) data for a relaxed structure of SrTaPb2, as listed in the Alexandria database.

Structure (POSCAR):
```
SrTaPb2
1.0
-4.571 0.817 1.780
2.722 -4.231 1.987
1.864 0.433 4.589
Pb Sr Ta
2 1 1
direct
0.250 0.500 0.250
0.750 0.500 0.750
0.500 0.000 0.500
0.000 0.000 0.000
```

- space group = I4/mmm, No. 139
- E_form (eV per atom) = 0.37

Record 2
First-principles (GGA-PBEsol) data for a relaxed structure of La2AgBr, as listed in the Alexandria database.

Structure (POSCAR):
```
La2AgBr
1.0
4.269 0.000 0.000
0.000 4.269 0.000
-2.135 -2.135 6.133
La Br Ag
2 1 1
direct
0.750 0.250 0.500
0.000 0.000 0.000
0.250 0.750 0.500
0.500 0.500 0.000
```

- formation energy (no corrections) (eV/atom) = -0.509
- space group = I-4m2, No. 119

What are the E values for these records? In order: -5.2234, -4.4779 eV/atom.
What are the magnetic moment values for these records? In order: 0.46, 0.00 μB/atom.